Entry 1:
Compound: SrAgSnBr5
Source: Alexandria
Functional: PBE-GGA
Structure: relaxed

The structure in extended XYZ format:
```
16
Lattice="4.8388 -6.4384 0.0000 4.8388 6.4384 0.0000 -4.6962 0.0000 9.7008" Properties=species:S:1:pos:R:3 pbc="T T T"
Sr 2.4194 3.2192 0.0000
Sr 0.0713 -3.2192 4.8504
Ag 1.3166 5.5744 7.2756
Ag 3.6647 -5.5744 2.4252
Sn 1.3166 1.4761 7.2756
Sn 3.6647 -1.4761 2.4252
Br -1.5636 0.8785 7.8740
Br 1.8550 3.6321 5.4113
Br 0.7782 3.6321 9.1399
Br 0.7846 -0.8785 3.0236
Br 3.6647 1.7183 2.4252
Br 1.3166 -1.7183 7.2756
Br 4.1968 0.8785 6.6772
Br 4.2031 -3.6321 0.5609
Br 3.1263 -3.6321 4.2895
Br 6.5449 -0.8785 1.8268
```

D(E_F) (states/eV/f.u.): 0.000
Total DFT energy (no corrections) (eV/cell): -51.35
Total magnetic moment (μB/cell): 0.00
V (Å³ per atom): 37.8

---

Entry 2:
Compound: HoTm2P3Rh12
Source: Alexandria
Functional: PBE-GGA
Structure: relaxed

The structure in extended XYZ format:
```
18
Lattice="4.4514 2.5700 4.2677 -4.4514 2.5700 4.2677 0.0000 -5.1400 4.2677" Properties=species:S:1:pos:R:3 pbc="T T T"
Ho 0.0000 0.0000 0.0000
Tm 0.0000 0.0000 4.7781
Tm 0.0000 0.0000 8.0251
P -4.4514 0.0000 6.4016
P -2.2257 1.2850 2.1339
P 2.2257 1.2850 2.1339
Rh -2.3835 -1.3761 5.7711
Rh 0.0000 -2.4720 4.3612
Rh -2.1408 1.2360 4.3612
Rh -2.1408 -1.2360 8.4420
Rh 0.0000 -2.7522 7.0321
Rh -2.3835 1.3761 7.0321
Rh 2.3835 -1.3761 5.7711
Rh 0.0000 2.7522 5.7711
Rh 2.1408 1.2360 4.3612
Rh 2.1408 -1.2360 8.4420
Rh 0.0000 2.4720 8.4420
Rh 2.3835 1.3761 7.0321
```

D(E_F) (states/eV/f.u.): 15.428
Total DFT energy (no corrections) (eV/cell): -125.95
Total magnetic moment (μB/cell): 0.00
Formation energy (eV/atom): -0.443
V (Å³ per atom): 16.3

---

Entry 3:
Compound: HfNpOs2
Source: Alexandria
Functional: PBE-GGA
Structure: relaxed

The structure in extended XYZ format:
```
4
Lattice="0.0000 3.3235 3.3235 3.3235 0.0000 3.3235 3.3235 3.3235 0.0000" Properties=species:S:1:pos:R:3 pbc="T T T"
Hf 0.0000 0.0000 0.0000
Np 3.3235 3.3235 3.3235
Os 1.6618 1.6618 1.6618
Os 4.9853 4.9853 4.9853
```

D(E_F) (states/eV/f.u.): 3.178
Total DFT energy (no corrections) (eV/cell): -45.99
Total magnetic moment (μB/cell): 3.47
Energy above the lowest structure with this stoichiometry (eV/atom): 0.055
Formation energy (eV/atom): -0.159
V (Å³ per atom): 18.4

---

Entry 4:
Compound: Cu12PdAu6
Source: Alexandria
Functional: PBE-GGA
Structure: relaxed

The structure in extended XYZ format:
```
19
Lattice="3.7813 2.1831 5.6259 -3.7813 2.1831 5.6259 0.0000 -4.3663 5.6259" Properties=species:S:1:pos:R:3 pbc="T T T"
Cu 0.0000 -1.5812 4.6162
Cu -1.3693 0.7906 4.6162
Cu -1.2443 -0.7184 6.6246
Cu -1.3693 -0.7906 12.2617
Cu 0.0000 -1.4368 10.2532
Cu -1.2443 0.7184 10.2532
Cu 1.2443 -0.7184 6.6246
Cu 0.0000 1.4368 6.6246
Cu 1.3693 0.7906 4.6162
Cu 1.2443 0.7184 10.2532
Cu 1.3693 -0.7906 12.2617
Cu 0.0000 1.5812 12.2617
Pd 0.0000 0.0000 0.0000
Au -2.3366 -1.3490 8.9707
Au 0.0000 -2.6981 7.9072
Au -2.3366 1.3490 7.9072
Au 2.3366 -1.3490 8.9707
Au 0.0000 2.6981 8.9707
Au 2.3366 1.3490 7.9072
```

D(E_F) (states/eV/f.u.): 5.569
Total DFT energy (no corrections) (eV/cell): -73.39
Total magnetic moment (μB/cell): 0.00
Energy above the lowest structure with this stoichiometry (eV/atom): 0.000
Formation energy (eV/atom): 0.033
V (Å³ per atom): 14.7

---

Entry 5:
Compound: Nd3SmDy4Se8
Source: Alexandria
Functional: PBE-GGA
Structure: relaxed

The structure in extended XYZ format:
```
16
Lattice="4.1102 2.3730 6.8952 -4.1102 2.3730 6.8952 0.0000 -4.7460 6.8952" Properties=species:S:1:pos:R:3 pbc="T T T"
Nd -2.0551 -1.1865 6.8952
Nd -2.0551 1.1865 13.7903
Nd 0.0000 2.3730 6.8952
Sm 0.0000 0.0000 0.0000
Dy -4.1102 0.0000 10.3427
Dy -2.0551 1.1865 3.4476
Dy 2.0551 1.1865 3.4476
Dy 0.0000 0.0000 10.3428
Se -2.0682 -1.1941 11.9735
Se 0.0000 0.0000 5.0667
Se 0.0000 -2.3882 8.7120
Se -2.0682 1.1941 8.7120
Se 2.0682 -1.1941 11.9735
Se 0.0000 2.3882 11.9735
Se 0.0000 0.0000 15.6188
Se 2.0682 1.1941 8.7120
```

D(E_F) (states/eV/f.u.): 9.622
Total DFT energy (no corrections) (eV/cell): -93.96
Total magnetic moment (μB/cell): 0.00
V (Å³ per atom): 25.2

---

Entry 6:
Compound: YScIn4
Source: Alexandria
Functional: PBE-GGA
Structure: relaxed

The structure in extended XYZ format:
```
6
Lattice="0.0000 4.1968 4.1968 4.1968 0.0000 4.1968 4.1968 4.1968 0.0000" Properties=species:S:1:pos:R:3 pbc="T T T"
Y 0.0000 0.0000 0.0000
Sc 2.0984 2.0984 2.0984
In 5.2446 3.1490 3.1490
In 3.1490 5.2446 3.1490
In 3.1490 3.1490 5.2446
In 5.2446 5.2446 5.2446
```

D(E_F) (states/eV/f.u.): 4.515
Total DFT energy (no corrections) (eV/cell): -25.25
Total magnetic moment (μB/cell): 0.00
Formation energy (eV/atom): -0.251
V (Å³ per atom): 24.6

---

Entry 7:
Compound: Pm3Pb2
Source: Alexandria
Functional: PBE-GGA
Structure: relaxed

The structure in extended XYZ format:
```
10
Lattice="-3.1728 3.1728 7.9935 3.1728 -3.1728 7.9935 3.1728 3.1728 -7.9935" Properties=species:S:1:pos:R:3 pbc="T T T"
Pm 0.0000 0.0000 0.0000
Pm 1.5864 1.5864 -3.9968
Pm 1.5864 -1.5864 3.9968
Pm 3.1728 1.5864 1.9984
Pm 0.0000 3.1728 0.0000
Pm 0.0000 1.5864 5.9951
Pb 3.1728 1.5864 -1.1772
Pb 0.0000 1.5864 2.8196
Pb 3.1728 1.5864 5.1739
Pb 0.0000 1.5864 9.1707
```

D(E_F) (states/eV/f.u.): 4.019
Total DFT energy (no corrections) (eV/cell): -47.67
Total magnetic moment (μB/cell): 0.55
Energy above the lowest structure with this stoichiometry (eV/atom): 0.000
Formation energy (eV/atom): -0.433
V (Å³ per atom): 32.2

---

Entry 8:
Compound: Ac4CoCu2
Source: Alexandria
Functional: PBE-GGA
Structure: relaxed

The structure in extended XYZ format:
```
7
Lattice="-2.8136 2.8136 7.2754 2.8136 -2.8136 7.2754 2.8136 2.8136 -7.2754" Properties=species:S:1:pos:R:3 pbc="T T T"
Ac 2.8136 0.0000 0.0000
Ac 0.0000 0.0000 2.8640
Ac 0.0000 2.8136 0.0000
Ac 0.0000 0.0000 11.6868
Co 0.0000 0.0000 0.0000
Cu 0.0000 0.0000 5.8925
Cu 0.0000 0.0000 8.6583
```

D(E_F) (states/eV/f.u.): 7.636
Total DFT energy (no corrections) (eV/cell): -31.27
Total magnetic moment (μB/cell): 0.00
Energy above the lowest structure with this stoichiometry (eV/atom): 0.142
Formation energy (eV/atom): 0.065
V (Å³ per atom): 32.9

---

Entry 9:
Compound: Th2NiPb
Source: Alexandria
Functional: PBE-GGA
Structure: relaxed

The structure in extended XYZ format:
```
4
Lattice="1.9854 1.1463 8.3533 -1.9854 1.1463 8.3533 0.0000 -2.2925 8.3533" Properties=species:S:1:pos:R:3 pbc="T T T"
Th 0.0000 0.0000 5.8023
Th 0.0000 0.0000 19.2575
Ni 0.0000 0.0000 12.5299
Pb 0.0000 0.0000 0.0000
```

D(E_F) (states/eV/f.u.): 4.160
Total DFT energy (no corrections) (eV/cell): -25.20
Total magnetic moment (μB/cell): 0.00
Energy above the lowest structure with this stoichiometry (eV/atom): 0.064
Formation energy (eV/atom): -0.217
V (Å³ per atom): 28.5

---

Entry 10:
Compound: CuBr
Source: Alexandria
Functional: PBE-GGA
Structure: relaxed

The structure in extended XYZ format:
```
16
Lattice="7.1624 0.0000 0.0000 0.0000 7.3487 0.0000 0.0000 0.0000 7.4227" Properties=species:S:1:pos:R:3 pbc="T T T"
Cu 0.7007 1.3491 3.1710
Cu 1.0839 4.2037 6.1367
Cu 2.4973 3.1450 2.4253
Cu 2.8805 5.9995 6.8824
Cu 4.2819 2.3252 4.2517
Cu 4.6651 6.8194 1.2861
Cu 6.0785 0.5293 4.9974
Cu 6.4617 5.0235 0.5404
Br 0.5317 6.6552 6.6424
Br 0.6550 2.9753 0.8169
Br 2.9262 4.3734 4.5283
Br 3.0495 0.6935 2.9310
Br 4.1130 4.3678 0.7804
Br 4.2362 0.6991 6.6058
Br 6.5074 6.6496 2.8944
Br 6.6307 2.9808 4.4917
```

Total DFT energy (no corrections) (eV/cell): -49.34
Total magnetic moment (μB/cell): 0.00
V (Å³ per atom): 24.4

---

Entry 11:
Compound: Er3ZrHg6
Source: Alexandria
Functional: PBE-GGA
Structure: relaxed

The structure in extended XYZ format:
```
20
Lattice="8.9253 0.0000 0.0000 0.0000 5.1190 0.0000 -3.5300 0.0000 10.4460" Properties=species:S:1:pos:R:3 pbc="T T T"
Er -1.1076 1.2797 4.0441
Er 0.5926 3.8392 2.2348
Er -1.0701 1.2797 10.3389
Er 6.4654 3.8392 0.1071
Er 4.8027 1.2797 8.2112
Er 6.5029 3.8392 6.4019
Zr 1.8627 1.2797 6.1745
Zr 3.5326 3.8392 4.2715
Hg -2.9913 3.8392 9.5419
Hg -1.0216 1.2797 7.2232
Hg 0.5071 3.8392 5.3196
Hg 0.1922 3.8392 8.6077
Hg 2.1064 1.2797 3.1781
Hg 3.5083 3.8392 1.2938
Hg 1.8870 1.2797 9.1522
Hg 3.2889 3.8392 7.2679
Hg 5.2031 1.2797 1.8383
Hg 4.8882 1.2797 5.1264
Hg 6.4169 3.8392 3.2228
Hg 8.3866 1.2797 0.9042
```

D(E_F) (states/eV/f.u.): 5.888
Total DFT energy (no corrections) (eV/cell): -54.49
Total magnetic moment (μB/cell): 0.00
Formation energy (eV/atom): -0.320
V (Å³ per atom): 23.9

---

Entry 12:
Compound: BaSiMo2Pd
Source: Alexandria
Functional: PBE-GGA
Structure: relaxed

The structure in extended XYZ format:
```
5
Lattice="4.9454 0.0000 0.0000 0.0000 4.9454 0.0000 0.0000 0.0000 5.8479" Properties=species:S:1:pos:R:3 pbc="T T T"
Ba 0.0000 0.0000 0.0000
Si 2.4727 2.4727 0.0000
Mo 0.0000 2.4727 2.9239
Mo 2.4727 0.0000 2.9239
Pd 0.0000 0.0000 2.9239
```

D(E_F) (states/eV/f.u.): 5.597
Total DFT energy (no corrections) (eV/cell): -26.21
Total magnetic moment (μB/cell): 3.95
V (Å³ per atom): 28.6

---

Entry 13:
Compound: Pm2PrTl3
Source: Alexandria
Functional: PBE-GGA
Structure: relaxed

The structure in extended XYZ format:
```
12
Lattice="1.8785 -14.8017 0.0000 1.8785 14.8017 0.0000 0.0000 0.0000 6.8209" Properties=species:S:1:pos:R:3 pbc="T T T"
Pm 1.8785 14.6158 5.1157
Pm 1.8785 10.3900 1.7052
Pm 1.8785 -10.3900 5.1157
Pm 1.8785 -14.6158 1.7052
Pr 1.8785 5.0331 1.7052
Pr 1.8785 -5.0331 5.1157
Tl 1.8785 7.0981 5.1157
Tl 1.8785 2.2415 3.4783
Tl 1.8785 2.2415 6.7530
Tl 1.8785 -2.2415 0.0679
Tl 1.8785 -2.2415 3.3425
Tl 1.8785 -7.0981 1.7052
```

D(E_F) (states/eV/f.u.): 3.930
Total DFT energy (no corrections) (eV/cell): -45.81
Total magnetic moment (μB/cell): 0.00
Energy above the lowest structure with this stoichiometry (eV/atom): 0.138
Formation energy (eV/atom): -0.255
V (Å³ per atom): 31.6

---

Entry 14:
Compound: PmY3Sn2
Source: Alexandria
Functional: PBE-GGA
Structure: relaxed

The structure in extended XYZ format:
```
12
Lattice="9.0424 -2.3009 0.0000 9.0424 2.3009 0.0000 -3.8223 0.0000 8.7470" Properties=species:S:1:pos:R:3 pbc="T T T"
Pm 1.5744 0.0000 1.1445
Pm 12.6881 0.0000 7.6025
Y -1.6346 0.0000 6.0435
Y 5.1718 0.0000 0.9462
Y 4.4053 0.0000 4.5211
Y 9.8573 0.0000 4.2258
Y 9.0908 0.0000 7.8008
Y 15.8972 0.0000 2.7035
Sn 1.6588 0.0000 6.2719
Sn 8.3288 0.0000 1.2895
Sn 5.9338 0.0000 7.4574
Sn 12.6037 0.0000 2.4750
```

D(E_F) (states/eV/f.u.): 6.303
Total DFT energy (no corrections) (eV/cell): -70.74
Total magnetic moment (μB/cell): 2.15
Formation energy (eV/atom): -0.537
V (Å³ per atom): 30.3

---

Entry 15:
Compound: Tl2VRuS
Source: Alexandria
Functional: PBE-GGA
Structure: relaxed

The structure in extended XYZ format:
```
5
Lattice="5.3658 0.0000 0.0000 0.0000 5.3658 0.0000 0.0000 0.0000 4.2952" Properties=species:S:1:pos:R:3 pbc="T T T"
Tl 0.0000 2.6829 0.0000
Tl 2.6829 0.0000 0.0000
V 0.0000 0.0000 0.0000
Ru 2.6829 2.6829 2.1476
S 0.0000 0.0000 2.1476
```

D(E_F) (states/eV/f.u.): 6.083
Total DFT energy (no corrections) (eV/cell): -22.74
Total magnetic moment (μB/cell): 3.67
V (Å³ per atom): 24.7

---

Entry 16:
Compound: Ba4SrCa4
Source: Alexandria
Functional: PBE-GGA
Structure: relaxed

The structure in extended XYZ format:
```
9
Lattice="-6.2349 6.2349 3.0509 6.2349 -6.2349 3.0509 6.2349 6.2349 -3.0509" Properties=species:S:1:pos:R:3 pbc="T T T"
Ba 4.0484 0.0000 0.0000
Ba 8.4214 0.0000 0.0000
Ba 0.0000 4.0484 0.0000
Ba 0.0000 8.4214 0.0000
Sr 0.0000 0.0000 0.0000
Ca 4.1956 4.1956 0.0000
Ca 2.0394 -2.0394 3.0509
Ca -2.0394 2.0394 3.0509
Ca 2.0394 2.0394 3.0509
```

D(E_F) (states/eV/f.u.): 10.879
Total DFT energy (no corrections) (eV/cell): -17.05
Total magnetic moment (μB/cell): 0.00
Formation energy (eV/atom): 0.037
V (Å³ per atom): 52.7

---

Entry 17:
Compound: NaTlSn
Source: Alexandria
Functional: PBE-GGA
Structure: relaxed

The structure in extended XYZ format:
```
6
Lattice="5.1988 -2.9787 0.0000 5.1988 2.9787 0.0000 -3.3532 0.0000 5.4537" Properties=species:S:1:pos:R:3 pbc="T T T"
Na 0.0770 0.0000 2.6816
Na 6.9674 0.0000 2.7721
Tl -1.5830 -0.9480 5.4174
Tl 8.6274 -0.9480 0.0363
Sn 3.5222 -0.0610 2.7269
Sn 5.1988 -0.8601 0.0000
```

D(E_F) (states/eV/f.u.): 1.196
Total DFT energy (no corrections) (eV/cell): -15.96
Total magnetic moment (μB/cell): 0.00
Formation energy (eV/atom): -0.097
V (Å³ per atom): 28.2

---

Entry 18:
Compound: SrTl3Pb3
Source: Alexandria
Functional: PBE-GGA
Structure: relaxed

The structure in extended XYZ format:
```
14
Lattice="8.4612 0.0000 0.0000 0.0000 8.4612 0.0000 0.0000 0.0000 8.4612" Properties=species:S:1:pos:R:3 pbc="T T T"
Sr 0.0000 0.0000 0.0000
Sr 4.2306 4.2306 4.2306
Tl 0.0000 2.1153 4.2306
Tl 0.0000 6.3459 4.2306
Tl 2.1153 4.2306 0.0000
Tl 4.2306 0.0000 2.1153
Tl 4.2306 0.0000 6.3459
Tl 6.3459 4.2306 0.0000
Pb 0.0000 4.2306 2.1153
Pb 0.0000 4.2306 6.3459
Pb 2.1153 0.0000 4.2306
Pb 4.2306 2.1153 0.0000
Pb 4.2306 6.3459 0.0000
Pb 6.3459 0.0000 4.2306
```

D(E_F) (states/eV/f.u.): 3.822
Total DFT energy (no corrections) (eV/cell): -36.19
Total magnetic moment (μB/cell): 0.00
Energy above the lowest structure with this stoichiometry (eV/atom): 0.000
Formation energy (eV/atom): 0.259
V (Å³ per atom): 43.3